Record 1
A geometry-optimized Co3P2 structure. Source: Alexandria via LeMat-Bulk, functional PBE.

Output
As for the density of states at the Fermi level: 3.4 states/eV/cell. Its total magnetization is 0.2594 μB per atom. As for the formation energy: -0.447 eV per atom.

a = 3.6293 Å, b = 3.6293 Å, c = 5.1197 Å
α = 90.00°, β = 90.00°, γ = 120.00°
Closest atoms and distances in Å follow each position.
Positions (direct):
P 0.6667 0.3333 0.2299  7 Co 2.16-2.40
P 0.3333 0.6667 0.7701  7 Co 2.16-2.40
Co 0.6667 0.3333 0.6641  4 P 2.16-2.22
Co 0.0000 0.0000 0.0000  6 P 2.40
Co 0.3333 0.6667 0.3359  4 P 2.16-2.22

Record 2
A geometry-optimized TmFe2Ge2C structure. Source: Alexandria via LeMat-Bulk, functional PBE.

Output
As for the density of states at the Fermi level: 4.3 states/eV/cell. Its total magnetization is 0.3502 μB per atom. As for the formation energy: -0.253 eV per atom.

a = 3.9237 Å, b = 3.9237 Å, c = 5.3367 Å
α = 90.00°, β = 90.00°, γ = 90.00°
Closest atoms and distances in Å follow each position.
Positions (direct):
Ge 0.5000 0.5000 0.2719  1 Ge 2.43, 4 Fe 2.44
Ge 0.5000 0.5000 0.7281  1 Ge 2.43, 4 Fe 2.44
Fe 0.5000 0.0000 0.0000  2 C 1.96
Fe 0.0000 0.5000 0.0000  2 C 1.96
C 0.0000 0.0000 0.0000  4 Fe 1.96
Tm 0.0000 0.0000 0.5000  2 C 2.67